Record 1
The following is a PBE calculation of Hf6Ga16Ni7 after structural relaxation, from the Alexandria database.

## Properties
As for the formation energy: -13.379 eV/f.u. Its space group is Fm-3m (225). The raw total energy is -5.5862 eV/atom.

Cell lengths 8.5359, 8.5359, 8.5359 Å; angles 60.00, 60.00, 60.00 degrees
Positions (direct):
Hf 0.1900 0.1900 0.8100
Hf 0.1900 0.8100 0.1900
Hf 0.1900 0.8100 0.8100
Hf 0.8100 0.1900 0.1900
Hf 0.8100 0.1900 0.8100
Hf 0.8100 0.8100 0.1900
Ga 0.1399 0.6200 0.6200
Ga 0.1623 0.1623 0.1623
Ga 0.1623 0.1623 0.5131
Ga 0.1623 0.5131 0.1623
Ga 0.3800 0.3800 0.3800
Ga 0.3800 0.3800 0.8601
Ga 0.3800 0.8601 0.3800
Ga 0.4869 0.8377 0.8377
Ga 0.5131 0.1623 0.1623
Ga 0.6200 0.1399 0.6200
Ga 0.6200 0.6200 0.1399
Ga 0.6200 0.6200 0.6200
Ga 0.8377 0.4869 0.8377
Ga 0.8377 0.8377 0.4869
Ga 0.8377 0.8377 0.8377
Ga 0.8601 0.3800 0.3800
Ni 0.0000 0.0000 0.5000
Ni 0.0000 0.5000 0.0000
Ni 0.0000 0.5000 0.5000
Ni 0.5000 0.0000 0.0000
Ni 0.5000 0.0000 0.5000
Ni 0.5000 0.5000 0.0000
Ni 0.5000 0.5000 0.5000

***

Record 2
The following is a PBE calculation of CaPmTlAu after structural relaxation, from the Alexandria database.

## Properties
As for the formation energy: -2.395 eV/f.u. Its space group is P4mm (99). The distance to the lowest polymorph of the same formula is 0.00 eV per formula unit. The raw total energy is -3.6977 eV/atom.

Cell lengths 3.7383, 3.7383, 7.7775 Å; angles 90.00, 90.00, 90.00 degrees
Positions (direct):
Ca 0.0000 0.0000 0.0000
Pm 0.0000 0.0000 0.4592
Tl 0.5000 0.5000 0.7302
Au 0.5000 0.5000 0.2429

***

Record 3
The following is a PBE calculation of AlVCl2 after structural relaxation, from the Alexandria database.

## Properties
Its space group is I-42d (122). The distance to the lowest polymorph of the same formula is 1.33 eV per formula unit. The raw total energy is -4.1864 eV/atom. The energy relative to the elements, uncorrected is -48 meV/atom.

Cell lengths 7.0945, 7.0945, 7.0945 Å; angles 124.76, 124.76, 81.94 degrees
Positions (direct):
Al 0.0000 0.0000 0.0000
Al 0.7500 0.2500 0.5000
V 0.2500 0.7500 0.5000
V 0.5000 0.5000 0.0000
Cl 0.2012 0.6250 0.0762
Cl 0.3750 0.4512 0.5762
Cl 0.5488 0.1250 0.9238
Cl 0.8750 0.7988 0.4238

***

Record 4
The following is a PBE calculation of K2As4Pt5 after structural relaxation, from the Alexandria database.

## Properties
As for the formation energy: -4.089 eV/f.u. Its space group is Fmmm (69). The raw total energy is -5.0078 eV/atom.

Cell lengths 8.7689, 7.0410, 6.9839 Å; angles 77.40, 51.59, 51.01 degrees
Positions (direct):
K 0.1392 0.8608 0.1392
K 0.8608 0.1392 0.8608
As 0.2163 0.4689 0.5311
As 0.4689 0.2163 0.7837
As 0.5311 0.7837 0.2163
As 0.7837 0.5311 0.4689
Pt 0.0000 0.5000 0.0000
Pt 0.2500 0.2500 0.2500
Pt 0.5000 0.0000 0.5000
Pt 0.5000 0.5000 0.5000
Pt 0.7500 0.7500 0.7500

***

- What is the raw total energy in the first record?
  -5.5862 eV/atom